This record from Alexandria describes a relaxed LiCdCu2H crystal. The functional is PBE-GGA.

abc: 3.826 3.826 4.067
angles: 90.00 90.00 90.00
Positions (direct):
Li (0.000, 0.000, 0.000)
Cd (0.500, 0.500, 0.000)
Cu (0.000, 0.500, 0.500)
Cu (0.500, 0.000, 0.500)
H (0.000, 0.000, 0.500)

Summary:
The space group is P4/mmm, No. 123.



This record from Alexandria describes a relaxed Li2CdCuH crystal. The functional is PBE-GGA.

abc: 3.894 3.894 4.330
angles: 90.00 90.00 90.00
Positions (direct):
Li (0.000, 0.500, 0.000)
Li (0.500, 0.000, 0.000)
Cd (0.000, 0.000, 0.500)
Cu (0.500, 0.500, 0.500)
H (0.000, 0.000, 0.000)

Summary:
The excess energy over the best structure of this formula in the dataset is 94 meV/atom. The space group is P4/mmm, No. 123.



This record from Alexandria describes a relaxed Li2CdCuH crystal. The functional is PBE-GGA.

abc: 4.235 4.235 3.528
angles: 90.00 90.00 90.00
Positions (direct):
Li (0.000, 0.500, 0.000)
Li (0.500, 0.000, 0.000)
Cd (0.000, 0.000, 0.500)
Cu (0.500, 0.500, 0.500)
H (0.500, 0.500, 0.000)

Summary:
The excess energy over the best structure of this formula in the dataset is 0 meV/atom. The space group is P4/mmm, No. 123.



This record from Alexandria describes a relaxed MgCdCu2H crystal. The functional is PBE-GGA.

abc: 3.971 3.971 4.152
angles: 90.00 90.00 90.00
Positions (direct):
Mg (0.000, 0.000, 0.000)
Cd (0.500, 0.500, 0.000)
Cu (0.000, 0.500, 0.500)
Cu (0.500, 0.000, 0.500)
H (0.000, 0.000, 0.500)

Summary:
The space group is P4/mmm, No. 123.



| no. | calculated total energy (eV/atom) | D(E_F) (states/eV per atom) |
| --- | --- | --- |
| 1 | -2.896 | 0.23 |
| 2 | -2.486 | 0.28 |
| 3 | -2.580 | 0.23 |
| 4 | -2.727 | 0.23 |